Material: SrAc2Ga2
Method: DFT, GGA-PBE
State: optimized geometry

The structure in extended XYZ format:
```
10
Lattice="5.511 0.000 0.000 0.000 5.373 -0.971 0.000 -3.273 12.474" Properties=species:S:1:pos:R:3 pbc="T T T"
Ga 4.133 -0.633 4.153
Ga 1.378 2.732 7.349
Ga 4.133 4.032 -0.721
Ga 1.378 -1.932 12.224
Ac 4.133 1.660 1.510
Ac 1.378 0.440 9.993
Ac 1.378 -0.276 6.071
Ac 4.133 2.375 5.431
Sr 4.133 -2.301 10.168
Sr 1.378 4.400 1.335
```

---

Material: Sr2AcGa
Method: DFT, GGA-PBE
State: optimized geometry

The structure in extended XYZ format:
```
4
Lattice="4.072 0.000 0.000 2.036 3.526 0.000 2.036 1.175 11.534" Properties=species:S:1:pos:R:3 pbc="T T T"
Sr 2.036 1.175 9.257
Sr 2.036 1.175 2.283
Ac 4.072 2.351 5.743
Ga 4.072 2.351 0.017
```

---

Material: SrAcGa2
Method: DFT, GGA-PBE
State: optimized geometry

The structure in extended XYZ format:
```
4
Lattice="4.727 0.000 -0.031 0.000 4.426 0.000 -2.322 0.000 5.983" Properties=species:S:1:pos:R:3 pbc="T T T"
Ga -1.248 0.000 3.444
Ga -1.241 2.213 4.991
Sr 1.107 2.213 2.515
Ac 1.130 0.000 5.868
```

---

Material: SrAc2Ga
Method: DFT, GGA-PBE
State: optimized geometry

The structure in extended XYZ format:
```
4
Lattice="4.108 0.000 0.000 2.054 3.557 0.000 2.054 1.186 11.568" Properties=species:S:1:pos:R:3 pbc="T T T"
Sr 4.108 2.372 5.778
Ac 2.054 1.186 9.353
Ac 2.054 1.186 2.210
Ga 4.108 2.372 0.011
```

---

no.,energy relative to the elements (eV/atom)
1,-0.287
2,-0.051
3,-0.452
4,-0.109